No. 1
Here is crystalline LuTiAgPb at its relaxed geometry from the Alexandria database. Energies are from PBE-GGA.

Structure (POSCAR):
```
LuTiAgPb
1.0
7.078 0.000 0.000
0.000 7.078 0.000
0.000 0.000 7.078
Lu Ti Ag Pb
4 4 4 4
Cartesian
0.000 0.000 0.000
0.000 3.539 3.539
3.539 0.000 3.539
3.539 3.539 0.000
0.000 0.000 3.539
0.000 3.539 0.000
3.539 0.000 0.000
3.539 3.539 3.539
1.770 1.770 5.309
1.770 5.309 1.770
5.309 1.770 1.770
5.309 5.309 5.309
1.770 1.770 1.770
1.770 5.309 5.309
5.309 1.770 5.309
5.309 5.309 1.770
```

Values from the calculation:
Total energy, eV/atom: -4.83
Fermi-level density of states, states/eV per cell: 12.3
SG: F-43m (216)

No. 2
Here is crystalline MnNiOs at its relaxed geometry from the Alexandria database. Energies are from PBE-GGA.

Structure (POSCAR):
```
MnNiOs
1.0
2.648 0.000 0.000
0.000 2.648 0.000
0.000 0.000 10.674
Mn Ni Os
2 2 2
Cartesian
0.000 0.000 0.000
1.324 1.324 5.337
0.000 0.000 3.612
1.324 1.324 8.949
0.000 0.000 7.092
1.324 1.324 1.754
```

Values from the calculation:
Total energy, eV/atom: -8.60
Fermi-level density of states, states/eV per cell: 7.3
SG: I4mm (107)

No. 3
Here is crystalline CsScCdPb2 at its relaxed geometry from the Alexandria database. Energies are from PBE-GGA.

Structure (POSCAR):
```
CsScCdPb2
1.0
5.883 0.000 0.000
0.000 5.883 0.000
0.000 0.000 5.645
Cs Sc Cd Pb
1 1 1 2
Cartesian
0.000 0.000 0.000
2.942 2.942 0.000
2.942 2.942 2.823
0.000 2.942 2.823
2.942 0.000 2.823
```

Values from the calculation:
Total energy, eV/atom: -2.73
Fermi-level density of states, states/eV per cell: 3.8
SG: P4/mmm (123)